[1]
VASP calculation (PBE) on a geometry-optimized TmLuP2 structure.

```
data_TmLuP2
_cell_length_a 3.9334
_cell_length_b 3.9334
_cell_length_c 19.2553
_cell_angle_alpha 90.00
_cell_angle_beta 90.00
_cell_angle_gamma 120.00
_space_group_name_H-M_alt 'R -3 m'
_space_group_IT_number 166
_space_group_name_Hall '-R 3 2"'
loop_
_atom_site_label
_atom_site_type_symbol
_atom_site_fract_x
_atom_site_fract_y
_atom_site_fract_z
Tm1 Tm 0.0000 0.0000 0.0000
Lu1 Lu 0.0000 0.0000 0.5000
P1 P 0.0000 0.0000 0.2493
```

Calculated values
Crystal system: trigonal
Total DFT energy (no corrections) (hartree per atom): -0.2407

[2]
VASP calculation (PBE) on a geometry-optimized LiYAlHg structure.

```
data_LiYAlHg
_cell_length_a 7.0126
_cell_length_b 7.0126
_cell_length_c 7.0126
_cell_angle_alpha 90.00
_cell_angle_beta 90.00
_cell_angle_gamma 90.00
_space_group_name_H-M_alt 'F -4 3 m'
_space_group_IT_number 216
_space_group_name_Hall 'F -4 2 3'
loop_
_atom_site_label
_atom_site_type_symbol
_atom_site_fract_x
_atom_site_fract_y
_atom_site_fract_z
Li1 Li 0.0000 0.0000 0.0000
Y1 Y 0.0000 0.0000 0.5000
Al1 Al 0.2500 0.2500 0.2500
Hg1 Hg 0.2500 0.2500 0.7500
```

Calculated values
Crystal system: cubic
Total DFT energy (no corrections) (hartree per atom): -0.1263

[3]
VASP calculation (PBE) on a geometry-optimized Pm3Sm8Dy2 structure.

```
data_Pm3Sm8Dy2
_cell_length_a 20.3614
_cell_length_b 7.7252
_cell_length_c 5.7534
_cell_angle_alpha 90.00
_cell_angle_beta 90.04
_cell_angle_gamma 90.00
_space_group_name_H-M_alt 'C 1 2/m 1'
_space_group_IT_number 12
loop_
_space_group_symop_operation_xyz
'x,y,z'
'-x,-y,-z'
'-x,y,-z'
'x,-y,z'
'x+1/2,y+1/2,z'
'-x+1/2,-y+1/2,-z'
'-x+1/2,y+1/2,-z'
'x+1/2,-y+1/2,z'
loop_
_atom_site_label
_atom_site_type_symbol
_atom_site_fract_x
_atom_site_fract_y
_atom_site_fract_z
Pm1 Pm 0.0000 0.0000 0.0000
Pm2 Pm 0.0000 0.2890 0.5000
Sm1 Sm 0.1077 0.2916 0.0002
Sm2 Sm 0.1347 0.0000 0.4993
Sm3 Sm 0.1729 0.5000 0.5012
Dy1 Dy 0.2415 0.0000 0.9984
```

Calculated values
Distance to the lowest polymorph of the same formula (meV/atom): 62
Crystal system: monoclinic

[4]
VASP calculation (PBE) on a geometry-optimized TlTe4W structure.

```
data_TlTe4W
_cell_length_a 9.0298
_cell_length_b 9.0298
_cell_length_c 9.0298
_cell_angle_alpha 90.00
_cell_angle_beta 90.00
_cell_angle_gamma 90.00
_space_group_name_H-M_alt 'F -4 3 m'
_space_group_IT_number 216
_space_group_name_Hall 'F -4 2 3'
loop_
_atom_site_label
_atom_site_type_symbol
_atom_site_fract_x
_atom_site_fract_y
_atom_site_fract_z
Tl1 Tl 0.0000 0.0000 0.0000
Te1 Te 0.1234 0.1234 0.3766
W1 W 0.2500 0.2500 0.7500
```

Calculated values
Distance to the lowest polymorph of the same formula (meV/atom): 1109
E_form (uncorrected) (eV/f.u.): 6.73
Crystal system: cubic

[5]
VASP calculation (PBE) on a geometry-optimized SmDy3Mg4 structure.

```
data_SmDy3Mg4
_cell_length_a 5.3832
_cell_length_b 5.3832
_cell_length_c 7.5851
_cell_angle_alpha 90.00
_cell_angle_beta 90.00
_cell_angle_gamma 90.00
_space_group_name_H-M_alt 'P 4/m m m'
_space_group_IT_number 123
_space_group_name_Hall '-P 4 2'
loop_
_atom_site_label
_atom_site_type_symbol
_atom_site_fract_x
_atom_site_fract_y
_atom_site_fract_z
Sm1 Sm 0.0000 0.0000 0.0000
Dy1 Dy 0.0000 0.0000 0.5000
Dy2 Dy 0.5000 0.5000 0.0000
Dy3 Dy 0.5000 0.5000 0.5000
Mg1 Mg 0.0000 0.5000 0.2521
```

Calculated values
Crystal system: tetragonal
Total DFT energy (no corrections) (hartree per atom): -0.1176

[6]
VASP calculation (PBE) on a geometry-optimized MgCo2Bi structure.

```
data_MgCo2Bi
_cell_length_a 6.2902
_cell_length_b 6.2902
_cell_length_c 6.2902
_cell_angle_alpha 90.00
_cell_angle_beta 90.00
_cell_angle_gamma 90.00
_space_group_name_H-M_alt 'F m -3 m'
_space_group_IT_number 225
_space_group_name_Hall '-F 4 2 3'
loop_
_atom_site_label
_atom_site_type_symbol
_atom_site_fract_x
_atom_site_fract_y
_atom_site_fract_z
Mg1 Mg 0.0000 0.0000 0.0000
Co1 Co 0.2500 0.2500 0.2500
Bi1 Bi 0.0000 0.0000 0.5000
```

Calculated values
Distance to the lowest polymorph of the same formula (meV/atom): 0
Crystal system: cubic

[7]
VASP calculation (PBE) on a geometry-optimized Al8Ga2Co3 structure.

```
data_Al8Ga2Co3
_cell_length_a 8.0232
_cell_length_b 12.7068
_cell_length_c 4.0127
_cell_angle_alpha 90.00
_cell_angle_beta 90.00
_cell_angle_gamma 90.00
_space_group_name_H-M_alt 'C m m m'
_space_group_IT_number 65
_space_group_name_Hall '-C 2 2'
loop_
_atom_site_label
_atom_site_type_symbol
_atom_site_fract_x
_atom_site_fract_y
_atom_site_fract_z
Al1 Al 0.0000 0.1040 0.0000
Al2 Al 0.0000 0.3850 0.0000
Al3 Al 0.2445 0.1083 0.5000
Ga1 Ga 0.0000 0.2473 0.5000
Co1 Co 0.0000 0.5000 0.5000
Co2 Co 0.2425 0.5000 0.0000
```

Calculated values
Crystal system: orthorhombic
Total DFT energy (no corrections) (hartree per atom): -0.1719

[8]
VASP calculation (PBE) on a geometry-optimized MnRhCl structure.

```
data_MnRhCl
_cell_length_a 2.9763
_cell_length_b 2.9763
_cell_length_c 10.9319
_cell_angle_alpha 90.00
_cell_angle_beta 90.00
_cell_angle_gamma 90.00
_space_group_name_H-M_alt 'I 4 m m'
_space_group_IT_number 107
_space_group_name_Hall 'I 4 -2'
loop_
_atom_site_label
_atom_site_type_symbol
_atom_site_fract_x
_atom_site_fract_y
_atom_site_fract_z
Mn1 Mn 0.0000 0.0000 0.0000
Rh1 Rh 0.0000 0.0000 0.3570
Cl1 Cl 0.0000 0.0000 0.6603
```

Calculated values
Distance to the lowest polymorph of the same formula (meV/atom): 95
E_form (uncorrected) (eV/f.u.): 0.35
Crystal system: tetragonal

[9]
VASP calculation (PBE) on a geometry-optimized VSeS structure.

```
data_VSeS
_cell_length_a 5.6722
_cell_length_b 3.2748
_cell_length_c 13.3160
_cell_angle_alpha 90.00
_cell_angle_beta 98.55
_cell_angle_gamma 90.00
_space_group_name_H-M_alt 'C 1 2/m 1'
_space_group_IT_number 12
loop_
_space_group_symop_operation_xyz
'x,y,z'
'-x,-y,-z'
'-x,y,-z'
'x,-y,z'
'x+1/2,y+1/2,z'
'-x+1/2,-y+1/2,-z'
'-x+1/2,y+1/2,-z'
'x+1/2,-y+1/2,z'
loop_
_atom_site_label
_atom_site_type_symbol
_atom_site_fract_x
_atom_site_fract_y
_atom_site_fract_z
V1 V 0.0814 0.0000 0.2312
Se1 Se 0.2084 0.0000 0.6439
S1 S 0.1222 0.5000 0.8745
```

Calculated values
Distance to the lowest polymorph of the same formula (meV/atom): 1
E_form (uncorrected) (eV/f.u.): -2.34
Crystal system: monoclinic

[10]
VASP calculation (PBE) on a geometry-optimized Zn3ReF structure.

```
data_Zn3ReF
_cell_length_a 4.9977
_cell_length_b 4.9977
_cell_length_c 4.9977
_cell_angle_alpha 90.00
_cell_angle_beta 90.00
_cell_angle_gamma 90.00
_space_group_name_H-M_alt 'P m -3 m'
_space_group_IT_number 221
_space_group_name_Hall '-P 4 2 3'
loop_
_atom_site_label
_atom_site_type_symbol
_atom_site_fract_x
_atom_site_fract_y
_atom_site_fract_z
Zn1 Zn 0.0000 0.0000 0.5000
Re1 Re 0.0000 0.0000 0.0000
F1 F 0.5000 0.5000 0.5000
```

Calculated values
Distance to the lowest polymorph of the same formula (meV/atom): 555
E_form (uncorrected) (eV/f.u.): 3.61
Crystal system: cubic

[11]
VASP calculation (PBE) on a geometry-optimized Ti2ZnHg structure.

```
data_Ti2ZnHg
_cell_length_a 2.9911
_cell_length_b 2.9911
_cell_length_c 27.7197
_cell_angle_alpha 90.00
_cell_angle_beta 90.00
_cell_angle_gamma 120.00
_space_group_name_H-M_alt 'R 3 m'
_space_group_IT_number 160
_space_group_name_Hall 'R 3 -2"'
loop_
_atom_site_label
_atom_site_type_symbol
_atom_site_fract_x
_atom_site_fract_y
_atom_site_fract_z
Ti1 Ti 0.0000 0.0000 0.0000
Ti2 Ti 0.0000 0.0000 0.1774
Zn1 Zn 0.0000 0.0000 0.5889
Hg1 Hg 0.0000 0.0000 0.4220
```

Calculated values
Distance to the lowest polymorph of the same formula (meV/atom): 174
Crystal system: trigonal

[12]
VASP calculation (PBE) on a geometry-optimized SmHg2Ge structure.

```
data_SmHg2Ge
_cell_length_a 3.3618
_cell_length_b 3.3618
_cell_length_c 32.9405
_cell_angle_alpha 90.00
_cell_angle_beta 90.00
_cell_angle_gamma 120.00
_space_group_name_H-M_alt 'R -3 m'
_space_group_IT_number 166
_space_group_name_Hall '-R 3 2"'
loop_
_atom_site_label
_atom_site_type_symbol
_atom_site_fract_x
_atom_site_fract_y
_atom_site_fract_z
Sm1 Sm 0.0000 0.0000 0.0000
Hg1 Hg 0.0000 0.0000 0.0943
Ge1 Ge 0.0000 0.0000 0.5000
```

Calculated values
Distance to the lowest polymorph of the same formula (meV/atom): 651
Crystal system: trigonal

[13]
VASP calculation (PBE) on a geometry-optimized AgRhO structure.

```
data_AgRhO
_cell_length_a 2.9307
_cell_length_b 2.9307
_cell_length_c 36.2534
_cell_angle_alpha 90.00
_cell_angle_beta 90.00
_cell_angle_gamma 120.00
_space_group_name_H-M_alt 'R -3 m'
_space_group_IT_number 166
_space_group_name_Hall '-R 3 2"'
loop_
_atom_site_label
_atom_site_type_symbol
_atom_site_fract_x
_atom_site_fract_y
_atom_site_fract_z
Ag1 Ag 0.0000 0.0000 0.1341
Rh1 Rh 0.0000 0.0000 0.3012
O1 O 0.0000 0.0000 0.3948
```

Calculated values
E_form (uncorrected) (eV/f.u.): -0.49
Crystal system: trigonal

[14]
VASP calculation (PBE) on a geometry-optimized Sm2HoRh4 structure.

```
data_Sm2HoRh4
_cell_length_a 7.9376
_cell_length_b 4.8704
_cell_length_c 7.7420
_cell_angle_alpha 90.00
_cell_angle_beta 94.69
_cell_angle_gamma 90.00
_space_group_name_H-M_alt 'C 1 2/m 1'
_space_group_IT_number 12
loop_
_space_group_symop_operation_xyz
'x,y,z'
'-x,-y,-z'
'-x,y,-z'
'x,-y,z'
'x+1/2,y+1/2,z'
'-x+1/2,-y+1/2,-z'
'-x+1/2,y+1/2,-z'
'x+1/2,-y+1/2,z'
loop_
_atom_site_label
_atom_site_type_symbol
_atom_site_fract_x
_atom_site_fract_y
_atom_site_fract_z
Sm1 Sm 0.1885 0.0000 0.3078
Ho1 Ho 0.0000 0.5000 0.0000
Rh1 Rh 0.0455 0.5000 0.3458
Rh2 Rh 0.1554 0.0000 0.8825
```

Calculated values
Crystal system: monoclinic
Total DFT energy (no corrections) (hartree per atom): -0.2475

[15]
VASP calculation (PBE) on a geometry-optimized BaSrTlPb structure.

```
data_BaSrTlPb
_cell_length_a 8.4482
_cell_length_b 8.4482
_cell_length_c 8.4482
_cell_angle_alpha 90.00
_cell_angle_beta 90.00
_cell_angle_gamma 90.00
_space_group_name_H-M_alt 'F -4 3 m'
_space_group_IT_number 216
_space_group_name_Hall 'F -4 2 3'
loop_
_atom_site_label
_atom_site_type_symbol
_atom_site_fract_x
_atom_site_fract_y
_atom_site_fract_z
Ba1 Ba 0.0000 0.0000 0.0000
Sr1 Sr 0.0000 0.0000 0.5000
Tl1 Tl 0.2500 0.2500 0.2500
Pb1 Pb 0.2500 0.2500 0.7500
```

Calculated values
Crystal system: cubic
Total DFT energy (no corrections) (hartree per atom): -0.1063

[16]
VASP calculation (PBE) on a geometry-optimized Mg3C structure.

```
data_Mg3C
_cell_length_a 2.9010
_cell_length_b 2.9010
_cell_length_c 7.8327
_cell_angle_alpha 90.00
_cell_angle_beta 90.00
_cell_angle_gamma 90.00
_space_group_name_H-M_alt 'P 4/m m m'
_space_group_IT_number 123
_space_group_name_Hall '-P 4 2'
loop_
_atom_site_label
_atom_site_type_symbol
_atom_site_fract_x
_atom_site_fract_y
_atom_site_fract_z
Mg1 Mg 0.0000 0.0000 0.0000
Mg2 Mg 0.5000 0.5000 0.3316
C1 C 0.0000 0.0000 0.5000
```

Calculated values
Distance to the lowest polymorph of the same formula (meV/atom): 255
Crystal system: tetragonal

[17]
VASP calculation (PBE) on a geometry-optimized Li4DyHo structure.

```
data_Li4DyHo
_cell_length_a 8.2334
_cell_length_b 8.2334
_cell_length_c 8.2334
_cell_angle_alpha 90.00
_cell_angle_beta 90.00
_cell_angle_gamma 90.00
_space_group_name_H-M_alt 'F -4 3 m'
_space_group_IT_number 216
_space_group_name_Hall 'F -4 2 3'
loop_
_atom_site_label
_atom_site_type_symbol
_atom_site_fract_x
_atom_site_fract_y
_atom_site_fract_z
Li1 Li 0.1249 0.1249 0.1249
Dy1 Dy 0.0000 0.0000 0.5000
Ho1 Ho 0.2500 0.2500 0.7500
```

Calculated values
Crystal system: cubic
Total DFT energy (no corrections) (hartree per atom): -0.0987

[18]
VASP calculation (PBE) on a geometry-optimized TbPuFe structure.

```
data_TbPuFe
_cell_length_a 3.4494
_cell_length_b 3.4494
_cell_length_c 11.0362
_cell_angle_alpha 90.00
_cell_angle_beta 90.00
_cell_angle_gamma 90.00
_space_group_name_H-M_alt 'I 4 m m'
_space_group_IT_number 107
_space_group_name_Hall 'I 4 -2'
loop_
_atom_site_label
_atom_site_type_symbol
_atom_site_fract_x
_atom_site_fract_y
_atom_site_fract_z
Tb1 Tb 0.0000 0.0000 0.0000
Pu1 Pu 0.0000 0.0000 0.2848
Fe1 Fe 0.0000 0.0000 0.6845
```

Calculated values
Distance to the lowest polymorph of the same formula (meV/atom): 94
Crystal system: tetragonal

[19]
VASP calculation (PBE) on a geometry-optimized BaMgPRu2 structure.

```
data_BaMgPRu2
_cell_length_a 4.5251
_cell_length_b 4.5251
_cell_length_c 5.6280
_cell_angle_alpha 90.00
_cell_angle_beta 90.00
_cell_angle_gamma 90.00
_space_group_name_H-M_alt 'P 4/m m m'
_space_group_IT_number 123
_space_group_name_Hall '-P 4 2'
loop_
_atom_site_label
_atom_site_type_symbol
_atom_site_fract_x
_atom_site_fract_y
_atom_site_fract_z
Ba1 Ba 0.0000 0.0000 0.0000
Mg1 Mg 0.5000 0.5000 0.0000
P1 P 0.0000 0.0000 0.5000
Ru1 Ru 0.0000 0.5000 0.5000
```

Calculated values
Crystal system: tetragonal
Total DFT energy (no corrections) (hartree per atom): -0.1892

[20]
VASP calculation (PBE) on a geometry-optimized Li2MoPbCl8 structure.

```
data_Li2MoPbCl8
_cell_length_a 6.3923
_cell_length_b 6.8088
_cell_length_c 8.2583
_cell_angle_alpha 69.78
_cell_angle_beta 88.83
_cell_angle_gamma 79.79
_space_group_name_H-M_alt 'P -1'
_space_group_IT_number 2
loop_
_space_group_symop_operation_xyz
'x,y,z'
'-x,-y,-z'
loop_
_atom_site_label
_atom_site_type_symbol
_atom_site_fract_x
_atom_site_fract_y
_atom_site_fract_z
Li1 Li 0.0392 0.1523 0.3154
Mo1 Mo 0.5000 0.5000 0.0000
Pb1 Pb 0.5000 0.5000 0.5000
Cl1 Cl 0.0950 0.7760 0.4387
Cl2 Cl 0.1584 0.7184 0.9586
Cl3 Cl 0.3777 0.2902 0.8553
Cl4 Cl 0.3941 0.2643 0.2771
```

Calculated values
E_form (uncorrected) (eV/f.u.): -14.61
Crystal system: triclinic

Total magnetization (μB per cell)
0.00; 0.00; 0.00; 18.79; 0.00; 5.46; 0.00; 8.17; 2.74; 2.84; 0.00; 0.00; 0.00; 0.00; 0.00; 0.00; 0.00; 7.98; 0.00; 2.00